No. 1
VASP calculation (PBE-GGA) on Sm8CdGe5 after structural relaxation.

Computed properties:
- magnetization (Bohr magnetons per cell) = 0.0
- E_form (eV/f.u.) = -9.810

Structure (CIF):
```
data_Sm8CdGe5
_cell_length_a 9.1037
_cell_length_b 9.1037
_cell_length_c 9.1040
_cell_angle_alpha 90.00
_cell_angle_beta 90.00
_cell_angle_gamma 90.00
_symmetry_space_group_name_H-M 'I -4'
_symmetry_Int_Tables_number 82
loop_
_symmetry_equiv_pos_as_xyz
'x,y,z'
'y,-x,-z'
'-x,-y,z'
'-y,x,-z'
'x+1/2,y+1/2,z+1/2'
'y+1/2,-x+1/2,-z+1/2'
'-x+1/2,-y+1/2,z+1/2'
'-y+1/2,x+1/2,-z+1/2'
loop_
_atom_site_label
_atom_site_fract_x
_atom_site_fract_y
_atom_site_fract_z
_atom_site_occupancy
Sm1 0.0667 0.3281 0.0583 1
Sm2 0.0713 0.1887 0.6842 1
Cd1 0.0000 0.0000 0.0000 1
Ge1 0.0000 0.5000 0.7500 1
Ge2 0.1290 0.2483 0.3708 1
```

No. 2
VASP calculation (PBE-GGA) on TlTcCl6 after structural relaxation.

Computed properties:
- magnetization (Bohr magnetons per cell) = 4.0
- formation energy (no corrections) (eV per atom) = -0.71

Structure (CIF):
```
data_TlTcCl6
_cell_length_a 6.7326
_cell_length_b 11.3773
_cell_length_c 6.7104
_cell_angle_alpha 90.00
_cell_angle_beta 107.29
_cell_angle_gamma 90.00
_symmetry_space_group_name_H-M 'C 1 2/m 1'
_symmetry_Int_Tables_number 12
loop_
_symmetry_equiv_pos_as_xyz
'x,y,z'
'-x,-y,-z'
'-x,y,-z'
'x,-y,z'
'x+1/2,y+1/2,z'
'-x+1/2,-y+1/2,-z'
'-x+1/2,y+1/2,-z'
'x+1/2,-y+1/2,z'
loop_
_atom_site_label
_atom_site_fract_x
_atom_site_fract_y
_atom_site_fract_z
_atom_site_occupancy
Tl1 0.0000 0.0000 0.0000 1
Tc1 0.0000 0.5000 0.5000 1
Cl1 0.2032 0.3542 0.7160 1
Cl2 0.2292 0.5000 0.2960 1
```

No. 3
VASP calculation (PBE-GGA) on CdTeCl2 after structural relaxation.

Computed properties:
- magnetization (Bohr magnetons per cell) = 0.0
- formation energy (no corrections) (eV per atom) = -0.49

Structure (CIF):
```
data_CdTeCl2
_cell_length_a 3.7595
_cell_length_b 5.3875
_cell_length_c 14.2588
_cell_angle_alpha 90.00
_cell_angle_beta 90.00
_cell_angle_gamma 90.00
_symmetry_space_group_name_H-M 'I m m 2'
_symmetry_Int_Tables_number 44
loop_
_symmetry_equiv_pos_as_xyz
'x,y,z'
'-x,-y,z'
'-x,y,z'
'x,-y,z'
'x+1/2,y+1/2,z+1/2'
'-x+1/2,-y+1/2,z+1/2'
'-x+1/2,y+1/2,z+1/2'
'x+1/2,-y+1/2,z+1/2'
loop_
_atom_site_label
_atom_site_fract_x
_atom_site_fract_y
_atom_site_fract_z
_atom_site_occupancy
Cd1 0.0000 0.0000 0.0000 1
Te1 0.0000 0.5000 0.3449 1
Cl1 0.0000 0.0000 0.3771 1
Cl2 0.0000 0.5000 0.6216 1
```

No. 4
VASP calculation (PBE-GGA) on ReHg2 after structural relaxation.

Computed properties:
- magnetization (Bohr magnetons per cell) = 0.0
- E_form (eV/f.u.) = 1.908

Structure (CIF):
```
data_ReHg2
_cell_length_a 12.2003
_cell_length_b 2.8482
_cell_length_c 8.2820
_cell_angle_alpha 90.00
_cell_angle_beta 120.05
_cell_angle_gamma 90.00
_symmetry_space_group_name_H-M 'C 1 2/m 1'
_symmetry_Int_Tables_number 12
loop_
_symmetry_equiv_pos_as_xyz
'x,y,z'
'-x,-y,-z'
'-x,y,-z'
'x,-y,z'
'x+1/2,y+1/2,z'
'-x+1/2,-y+1/2,-z'
'-x+1/2,y+1/2,-z'
'x+1/2,-y+1/2,z'
loop_
_atom_site_label
_atom_site_fract_x
_atom_site_fract_y
_atom_site_fract_z
_atom_site_occupancy
Re1 0.1936 0.0000 0.0599 1
Hg1 0.0308 0.5000 0.2135 1
Hg2 0.1587 0.0000 0.5949 1
```

No. 5
VASP calculation (PBE-GGA) on B2C after structural relaxation.

Computed properties:
- magnetization (Bohr magnetons per cell) = 0.0
- E_form (eV/f.u.) = 1.261

Structure (CIF):
```
data_B2C
_cell_length_a 4.7727
_cell_length_b 2.7408
_cell_length_c 6.2464
_cell_angle_alpha 90.00
_cell_angle_beta 97.51
_cell_angle_gamma 90.00
_symmetry_space_group_name_H-M 'P 1 m 1'
_symmetry_Int_Tables_number 6
loop_
_symmetry_equiv_pos_as_xyz
'x,y,z'
'x,-y,z'
loop_
_atom_site_label
_atom_site_fract_x
_atom_site_fract_y
_atom_site_fract_z
_atom_site_occupancy
B1 0.0000 0.0000 0.0000 1
B2 0.0049 0.0000 0.3250 1
B3 0.2366 0.5000 0.3550 1
B4 0.3440 0.5000 0.6412 1
B5 0.6002 0.5000 0.3933 1
B6 0.7585 0.0000 0.7232 1
B7 0.8373 0.5000 0.1401 1
B8 0.8541 0.5000 0.8730 1
C1 0.3495 0.0000 0.0037 1
C2 0.4039 0.0000 0.7651 1
C3 0.4680 0.5000 0.1248 1
C4 0.7557 0.0000 0.4693 1
```

No. 6
VASP calculation (PBE-GGA) on PmYCuNi after structural relaxation.

Computed properties:
- magnetization (Bohr magnetons per cell) = 0.0
- E_form (eV/f.u.) = -1.233

Structure (CIF):
```
data_PmYCuNi
_cell_length_a 4.4085
_cell_length_b 3.7719
_cell_length_c 10.4678
_cell_angle_alpha 90.00
_cell_angle_beta 90.00
_cell_angle_gamma 90.00
_symmetry_space_group_name_H-M 'A m m 2'
_symmetry_Int_Tables_number 38
loop_
_symmetry_equiv_pos_as_xyz
'x,y,z'
'-x,-y,z'
'-x,y,z'
'x,-y,z'
'x,y+1/2,z+1/2'
'-x,-y+1/2,z+1/2'
'-x,y+1/2,z+1/2'
'x,-y+1/2,z+1/2'
loop_
_atom_site_label
_atom_site_fract_x
_atom_site_fract_y
_atom_site_fract_z
_atom_site_occupancy
Pm1 0.0000 0.0000 0.0000 1
Y1 0.5000 0.0000 0.2767 1
Cu1 0.0000 0.0000 0.7112 1
Ni1 0.5000 0.0000 0.5709 1
```